YTe2Pt, relaxed, DFT PBE; symmetry = Pm (6)
1.0
-2.703 0.744 2.892
-2.957 -1.128 -2.474
-0.825 -7.636 1.193
Pt Y Te
1 1 2
direct
0.500 0.965 0.695 Pt
0.000 0.539 0.548 Y
0.500 0.143 0.340 Te
0.000 0.853 0.917 Te

RbSbTe2Br, relaxed, DFT PBE; symmetry = P4/mmm (123)
1.0
-0.215 6.174 -0.923
-4.102 0.557 4.678
4.895 0.798 4.197
Rb Te Sb Br
1 2 1 1
direct
0.000 0.000 0.000 Rb
0.000 0.500 0.000 Te
0.500 0.000 0.000 Te
0.000 0.000 0.500 Sb
0.500 0.500 0.500 Br

Calculated polymorph energy (0 for the lowest one), 0.00; 4.17 eV/f.u. (same order as the records).
Calculated uncorrected formation energy, -0.9256; 1.0758 eV/atom (same order as the records).
Calculated density of states at the Fermi level, 1.084; 12.888 states/eV per cell (same order as the records).